Material: Nb3V2Re
Method: DFT, PBE-GGA
State: relaxed

Energy relative to the elements ... -0.112 eV per atom
Calculated volume ... 387 Å³ per cell

CIF file:
```
data_Nb3V2Re
_cell_length_a 4.497
_cell_length_b 13.492
_cell_length_c 6.378
_cell_angle_alpha 90.00
_cell_angle_beta 90.00
_cell_angle_gamma 90.00
_symmetry_space_group_name_H-M 'C m m m'
_symmetry_Int_Tables_number 65
_symmetry_space_group_name_Hall '-C 2 2'
loop_
_atom_site_label
_atom_site_type_symbol
_atom_site_fract_x
_atom_site_fract_y
_atom_site_fract_z
Nb1 Nb 0.000 0.000 0.250
Nb2 Nb 0.000 0.333 0.249
V1 V 0.000 0.167 0.000
V2 V 0.000 0.500 0.000
V3 V 0.000 0.500 0.500
Re1 Re 0.000 0.166 0.500
```

Material: NbV3Re
Method: DFT, PBE-GGA
State: relaxed

Energy relative to the elements ... -0.154 eV per atom
Energy above the lowest structure with this stoichiometry ... 0.000 eV/f.u.
Calculated volume ... 292 Å³ per cell

CIF file:
```
data_NbV3Re
_cell_length_a 12.871
_cell_length_b 4.305
_cell_length_c 5.338
_cell_angle_alpha 90.00
_cell_angle_beta 98.76
_cell_angle_gamma 90.00
_symmetry_space_group_name_H-M 'C 1 2/m 1'
_symmetry_Int_Tables_number 12
loop_
_symmetry_equiv_pos_as_xyz
'x,y,z'
'-x,-y,-z'
'-x,y,-z'
'x,-y,z'
'x+1/2,y+1/2,z'
'-x+1/2,-y+1/2,-z'
'-x+1/2,y+1/2,-z'
'x+1/2,-y+1/2,z'
loop_
_atom_site_label
_atom_site_type_symbol
_atom_site_fract_x
_atom_site_fract_y
_atom_site_fract_z
Nb1 Nb 0.198 0.000 0.149
V1 V 0.001 0.000 0.749
V2 V 0.096 0.500 0.949
V3 V 0.196 0.000 0.644
Re1 Re 0.098 0.500 0.451
```

Material: NbV3Re
Method: DFT, PBE-GGA
State: relaxed

Energy relative to the elements ... 1.773 eV per atom
Energy above the lowest structure with this stoichiometry ... 9.636 eV/f.u.
Calculated volume ... 89 Å³ per cell

CIF file:
```
data_NbV3Re
_cell_length_a 4.470
_cell_length_b 4.470
_cell_length_c 4.470
_cell_angle_alpha 90.00
_cell_angle_beta 90.00
_cell_angle_gamma 90.00
_symmetry_space_group_name_H-M 'P m -3 m'
_symmetry_Int_Tables_number 221
_symmetry_space_group_name_Hall '-P 4 2 3'
loop_
_atom_site_label
_atom_site_type_symbol
_atom_site_fract_x
_atom_site_fract_y
_atom_site_fract_z
Nb1 Nb 0.000 0.000 0.000
V1 V 0.000 0.000 0.500
Re1 Re 0.500 0.500 0.500
```